The following is a DFT calculation (PBE) of AlCrI6 after structural relaxation.

abc: 7.4783 7.4783 7.4783
angles: 56.35 56.35 56.35
With the nearest neighbours (Å) after each atom.
Element x y z (fractional)
Al 0.0000 0.0000 0.0000  6 I 2.80
Cr 0.5000 0.5000 0.5000  6 I 2.77
I 0.0998 0.7479 0.4034  1 Cr 2.77, 1 Al 2.80
I 0.2521 0.5966 0.9002  1 Cr 2.77, 1 Al 2.80
I 0.4034 0.0998 0.7479  1 Cr 2.77, 1 Al 2.80
I 0.5966 0.9002 0.2521  1 Cr 2.77, 1 Al 2.80
I 0.7479 0.4034 0.0998  1 Cr 2.77, 1 Al 2.80
I 0.9002 0.2521 0.5966  1 Cr 2.77, 1 Al 2.80

The calculation puts the theoretical density at 5.15 Mg/m³. As for the formation energy (no corrections): -2.79 eV per formula unit. As for the total energy: -3.18 eV/atom. The offset from the most stable computed form comes out at 23 meV per atom.